# 1
The following is a DFT calculation (PBE-GGA) of a relaxed structure of KIr3.

Computed properties:
Symmetry: No. 10
Energy relative to the elements: 0.818 eV per atom
E: -0.2243 hartree per atom
Energy relative to the lowest polymorph listed for this composition: 325 meV per atom

Unit cell a=4.495 b=2.696 c=6.902 alpha=79.96 beta=90.00 gamma=90.00
Last column: magnetic moment on the atom in μB.
Atoms (fractional coordinates):
1 Ir 0.000 0.945 0.915  0.16
2 Ir 0.500 0.750 0.750  0.53
3 Ir 0.000 0.555 0.585  0.16
4 K 0.500 0.250 0.250  0.00


# 2
The following is a DFT calculation (PBE-GGA) of a relaxed structure of Zr2TlIrPb.

Computed properties:
Symmetry: No. 123
Energy relative to the elements: 0.224 eV per atom
E: -0.2272 hartree per atom

Unit cell a=5.156 b=5.140 c=5.156 alpha=90.00 beta=90.00 gamma=90.00
Atoms (fractional coordinates):
1 Pb 0.000 0.500 0.000
2 Tl 0.500 0.500 0.500
3 Ir 0.000 0.000 0.000
4 Zr 0.000 0.000 0.500
5 Zr 0.500 0.000 0.000